Version 1
Sb2As2Br | GGA-PBE | optimized geometry

The space group is I4/mmm (No. 139) and the conventional cell measures 4.633, 4.633 and 13.500 Å, with angles of 90.00, 90.00 and 90.00 degrees. The inequivalent atoms are Sb at (0.000, 0.000, 0.133), As at (0.000, 0.500, 0.250) and Br at (0.000, 0.000, 0.500).

Its density of states at the Fermi level is 0.224 states/eV per atom. The density is 5425 kg/m3.

***

Version 2
Sb2As2Br | GGA-PBE | optimized geometry

The space group is P4/mbm (No. 127) and the conventional cell measures 8.364, 8.364 and 3.566 Å, with angles of 90.00, 90.00 and 90.00 degrees. The inequivalent atoms are Sb at (0.145, 0.355, 0.000), As at (0.136, 0.636, 0.500) and Br at (0.000, 0.000, 0.500).

Its density of states at the Fermi level is 0.350 states/eV per atom. The density is 6299 kg/m3.

***

How do the energies compare? Relative to the most stable structure, in kJ/mol of atoms: version 1 0.0; version 2 17.7.

***

Version 1
Sb2As2Br | GGA-PBE | optimized geometry

The space group is P4/mbm (No. 127) and the conventional cell measures 8.293, 8.293 and 3.629 Å, with angles of 90.00, 90.00 and 90.00 degrees. The inequivalent atoms are Sb at (0.149, 0.351, 0.000), As at (0.132, 0.632, 0.500) and Br at (0.000, 0.000, 0.000).

Its density of states at the Fermi level is 0.324 states/eV per atom. The density is 6297 kg/m3.

***

Version 2
Sb2As2Br | GGA-PBE | optimized geometry

The space group is I4/mmm (No. 139) and the conventional cell measures 4.991, 4.991 and 11.364 Å, with angles of 90.00, 90.00 and 90.00 degrees. The inequivalent atoms are Sb at (0.000, 0.500, 0.250), As at (0.000, 0.000, 0.133) and Br at (0.000, 0.000, 0.500).

Its density of states at the Fermi level is 0.485 states/eV per atom. The density is 5553 kg/m3.

***

How do the energies compare? Relative to the most stable structure, in kJ/mol of atoms: version 1 4.4; version 2 0.0.

***

Version 1
SbAs2Br2 | GGA-PBE | optimized geometry

The space group is I4/mmm (No. 139) and the conventional cell measures 4.810, 4.810 and 11.748 Å, with angles of 90.00, 90.00 and 90.00 degrees. The inequivalent atoms are Sb at (0.000, 0.000, 0.000), As at (0.000, 0.000, 0.401) and Br at (0.000, 0.500, 0.250).

Its density of states at the Fermi level is 0.768 states/eV per atom. The density is 5272 kg/m3.

***

Version 2
SbAs2Br2 | GGA-PBE | optimized geometry

The space group is P4/mbm (No. 127) and the conventional cell measures 7.364, 7.364 and 5.321 Å, with angles of 90.00, 90.00 and 90.00 degrees. The inequivalent atoms are Sb at (0.000, 0.000, 0.000), As at (0.122, 0.378, 0.000) and Br at (0.170, 0.330, 0.500).

Its density of states at the Fermi level is 0.385 states/eV per atom. The density is 4965 kg/m3.

***

How do the energies compare? Relative to the most stable structure, in kJ/mol of atoms: version 1 38.5; version 2 0.0.

***

Version 1
ScSbAs2Br | GGA-PBE | optimized geometry

The space group is P4/mmm (No. 123) and the conventional cell measures 5.275, 5.275 and 4.983 Å, with angles of 90.00, 90.00 and 90.00 degrees. The inequivalent atoms are Sc at (0.000, 0.000, 0.000), Sb at (0.500, 0.500, 0.500), As at (0.000, 0.500, 0.000) and Br at (0.000, 0.000, 0.500).

Its density of states at the Fermi level is 0.702 states/eV per atom. The density is 4748 kg/m3.

***

Version 2
ScSbAs2Br | GGA-PBE | optimized geometry

The space group is P4/mmm (No. 123) and the conventional cell measures 5.284, 5.284 and 5.303 Å, with angles of 90.00, 90.00 and 90.00 degrees. The inequivalent atoms are Sc at (0.000, 0.000, 0.000), Sb at (0.500, 0.500, 0.500), As at (0.000, 0.500, 0.500) and Br at (0.500, 0.500, 0.000).

Its density of states at the Fermi level is 0.429 states/eV per atom. The density is 4445 kg/m3.

***

How do the energies compare? Relative to the most stable structure, in kJ/mol of atoms: version 1 0.0; version 2 41.2.

***

Version 1
ScSbAsBr2 | GGA-PBE | optimized geometry

The space group is P4/mmm (No. 123) and the conventional cell measures 5.472, 5.472 and 5.450 Å, with angles of 90.00, 90.00 and 90.00 degrees. The inequivalent atoms are Sc at (0.000, 0.000, 0.000), Sb at (0.500, 0.500, 0.500), As at (0.500, 0.500, 0.000) and Br at (0.000, 0.500, 0.500).

Its density of states at the Fermi level is 1.467 states/eV per atom. The density is 4085 kg/m3.

***

Version 2
ScSbAsBr2 | GGA-PBE | optimized geometry

The space group is P4/mmm (No. 123) and the conventional cell measures 5.073, 5.073 and 5.729 Å, with angles of 90.00, 90.00 and 90.00 degrees. The inequivalent atoms are Sc at (0.000, 0.000, 0.000), Sb at (0.500, 0.500, 0.500), As at (0.000, 0.000, 0.500) and Br at (0.000, 0.500, 0.000).

Its density of states at the Fermi level is 0.478 states/eV per atom. The density is 4520 kg/m3.

***

How do the energies compare? Relative to the most stable structure, in kJ/mol of atoms: version 1 60.7; version 2 0.0.

***

Version 1
SbAsSeBr2 | GGA-PBE | optimized geometry

The space group is P4/mmm (No. 123) and the conventional cell measures 5.438, 5.438 and 5.747 Å, with angles of 90.00, 90.00 and 90.00 degrees. The inequivalent atoms are Sb at (0.000, 0.000, 0.000), As at (0.000, 0.000, 0.500), Se at (0.500, 0.500, 0.500) and Br at (0.000, 0.500, 0.000).

Its density of states at the Fermi level is 0.857 states/eV per atom. The density is 4255 kg/m3.

***

Version 2
SbAsSeBr2 | GGA-PBE | optimized geometry

The space group is P4/mmm (No. 123) and the conventional cell measures 5.128, 5.128 and 5.496 Å, with angles of 90.00, 90.00 and 90.00 degrees. The inequivalent atoms are Sb at (0.000, 0.000, 0.000), As at (0.500, 0.500, 0.000), Se at (0.500, 0.500, 0.500) and Br at (0.000, 0.500, 0.500).

Its density of states at the Fermi level is 0.803 states/eV per atom. The density is 5004 kg/m3.

***

Version 3
SbAsSeBr2 | GGA-PBE | optimized geometry

The space group is P4/mmm (No. 123) and the conventional cell measures 5.513, 5.513 and 5.578 Å, with angles of 90.00, 90.00 and 90.00 degrees. The inequivalent atoms are Sb at (0.000, 0.000, 0.000), As at (0.500, 0.500, 0.500), Se at (0.000, 0.000, 0.500) and Br at (0.000, 0.500, 0.000).

Its density of states at the Fermi level is 0.543 states/eV per atom. The density is 4265 kg/m3.

***

Version 4
SbAsSeBr2 | GGA-PBE | optimized geometry

The space group is P4/mmm (No. 123) and the conventional cell measures 5.150, 5.150 and 5.340 Å, with angles of 90.00, 90.00 and 90.00 degrees. The inequivalent atoms are Sb at (0.000, 0.000, 0.000), As at (0.500, 0.500, 0.500), Se at (0.500, 0.500, 0.000) and Br at (0.000, 0.500, 0.500).

Its density of states at the Fermi level is 0.586 states/eV per atom. The density is 5106 kg/m3.

***

How do the energies compare? Relative to the most stable structure, in kJ/mol of atoms: version 1 20.8; version 2 24.9; version 3 10.3; version 4 0.0.

***

Version 1
Sr2SbAsBr | GGA-PBE | optimized geometry

The space group is P4/mmm (No. 123) and the conventional cell measures 5.878, 5.878 and 5.095 Å, with angles of 90.00, 90.00 and 90.00 degrees. The inequivalent atoms are Sr at (0.000, 0.500, 0.000), Sb at (0.000, 0.000, 0.500), As at (0.500, 0.500, 0.500) and Br at (0.500, 0.500, 0.000).

Its density of states at the Fermi level is 0.645 states/eV per atom. The density is 4261 kg/m3.

***

Version 2
Sr2SbAsBr | GGA-PBE | optimized geometry

The space group is P4/mmm (No. 123) and the conventional cell measures 6.040, 6.040 and 5.251 Å, with angles of 90.00, 90.00 and 90.00 degrees. The inequivalent atoms are Sr at (0.000, 0.500, 0.000), Sb at (0.000, 0.000, 0.500), As at (0.000, 0.000, 0.000) and Br at (0.500, 0.500, 0.500).

Its density of states at the Fermi level is 0.350 states/eV per atom. The density is 3917 kg/m3.

***

How do the energies compare? Relative to the most stable structure, in kJ/mol of atoms: version 1 30.6; version 2 0.0.

***

Version 1
SrSbAsBr2 | GGA-PBE | optimized geometry

The space group is P4/mmm (No. 123) and the conventional cell measures 5.623, 5.623 and 5.425 Å, with angles of 90.00, 90.00 and 90.00 degrees. The inequivalent atoms are Sr at (0.000, 0.000, 0.000), Sb at (0.500, 0.500, 0.500), As at (0.500, 0.500, 0.000) and Br at (0.000, 0.500, 0.500).

Its density of states at the Fermi level is 0.222 states/eV per atom. The density is 4299 kg/m3.

***

Version 2
SrSbAsBr2 | GGA-PBE | optimized geometry

The space group is P4/mmm (No. 123) and the conventional cell measures 5.607, 5.607 and 6.405 Å, with angles of 90.00, 90.00 and 90.00 degrees. The inequivalent atoms are Sr at (0.000, 0.000, 0.000), Sb at (0.500, 0.500, 0.500), As at (0.000, 0.000, 0.500) and Br at (0.000, 0.500, 0.000).

Its density of states at the Fermi level is 1.225 states/eV per atom. The density is 3662 kg/m3.

***

How do the energies compare? Relative to the most stable structure, in kJ/mol of atoms: version 1 0.0; version 2 37.9.

***

Version 1
TaSbAsBr2 | GGA-PBE | optimized geometry

The space group is P4/mmm (No. 123) and the conventional cell measures 5.380, 5.380 and 5.514 Å, with angles of 90.00, 90.00 and 90.00 degrees. The inequivalent atoms are Ta at (0.000, 0.000, 0.000), Sb at (0.500, 0.500, 0.500), As at (0.500, 0.500, 0.000) and Br at (0.000, 0.500, 0.500).

Its density of states at the Fermi level is 1.596 states/eV per atom. The density is 5592 kg/m3.

***

Version 2
TaSbAsBr2 | GGA-PBE | optimized geometry

The space group is P4/mmm (No. 123) and the conventional cell measures 5.035, 5.035 and 5.321 Å, with angles of 90.00, 90.00 and 90.00 degrees. The inequivalent atoms are Ta at (0.000, 0.000, 0.000), Sb at (0.500, 0.500, 0.500), As at (0.000, 0.000, 0.500) and Br at (0.000, 0.500, 0.000).

Its density of states at the Fermi level is 0.720 states/eV per atom. The density is 6615 kg/m3.

***

How do the energies compare? Relative to the most stable structure, in kJ/mol of atoms: version 1 89.4; version 2 0.0.

***

Version 1
TaSbAs2Br | GGA-PBE | optimized geometry

The space group is P4/mmm (No. 123) and the conventional cell measures 5.236, 5.236 and 5.231 Å, with angles of 90.00, 90.00 and 90.00 degrees. The inequivalent atoms are Ta at (0.000, 0.000, 0.000), Sb at (0.500, 0.500, 0.500), As at (0.000, 0.500, 0.500) and Br at (0.500, 0.500, 0.000).

Its density of states at the Fermi level is 1.198 states/eV per atom. The density is 6165 kg/m3.

***

Version 2
TaSbAs2Br | GGA-PBE | optimized geometry

The space group is P4/mmm (No. 123) and the conventional cell measures 5.119, 5.119 and 4.958 Å, with angles of 90.00, 90.00 and 90.00 degrees. The inequivalent atoms are Ta at (0.000, 0.000, 0.000), Sb at (0.500, 0.500, 0.500), As at (0.000, 0.500, 0.000) and Br at (0.000, 0.000, 0.500).

Its density of states at the Fermi level is 0.802 states/eV per atom. The density is 6805 kg/m3.

***

How do the energies compare? Relative to the most stable structure, in kJ/mol of atoms: version 1 102.5; version 2 0.0.

***

Version 1
YSbAsBr2 | GGA-PBE | optimized geometry

The space group is P4/mmm (No. 123) and the conventional cell measures 5.378, 5.378 and 6.011 Å, with angles of 90.00, 90.00 and 90.00 degrees. The inequivalent atoms are Y at (0.000, 0.000, 0.000), Sb at (0.500, 0.500, 0.500), As at (0.000, 0.000, 0.500) and Br at (0.000, 0.500, 0.000).

Its density of states at the Fermi level is 0.426 states/eV per atom. The density is 4254 kg/m3.

***

Version 2
YSbAsBr2 | GGA-PBE | optimized geometry

The space group is P4/mmm (No. 123) and the conventional cell measures 5.447, 5.447 and 5.484 Å, with angles of 90.00, 90.00 and 90.00 degrees. The inequivalent atoms are Y at (0.000, 0.000, 0.000), Sb at (0.500, 0.500, 0.500), As at (0.500, 0.500, 0.000) and Br at (0.000, 0.500, 0.500).

Its density of states at the Fermi level is 0.739 states/eV per atom. The density is 4545 kg/m3.

***

How do the energies compare? Relative to the most stable structure, in kJ/mol of atoms: version 1 0.0; version 2 46.2.

***

Version 1
ZrSbAsBr2 | GGA-PBE | optimized geometry

The space group is P4/mmm (No. 123) and the conventional cell measures 5.444, 5.444 and 5.433 Å, with angles of 90.00, 90.00 and 90.00 degrees. The inequivalent atoms are Zr at (0.000, 0.000, 0.000), Sb at (0.500, 0.500, 0.500), As at (0.500, 0.500, 0.000) and Br at (0.000, 0.500, 0.500).

Its density of states at the Fermi level is 1.127 states/eV per atom. The density is 4617 kg/m3.

***

Version 2
ZrSbAsBr2 | GGA-PBE | optimized geometry

The space group is P4/mmm (No. 123) and the conventional cell measures 5.193, 5.193 and 5.577 Å, with angles of 90.00, 90.00 and 90.00 degrees. The inequivalent atoms are Zr at (0.000, 0.000, 0.000), Sb at (0.500, 0.500, 0.500), As at (0.000, 0.000, 0.500) and Br at (0.000, 0.500, 0.000).

Its density of states at the Fermi level is 0.545 states/eV per atom. The density is 4944 kg/m3.

***

How do the energies compare? Relative to the most stable structure, in kJ/mol of atoms: version 1 73.3; version 2 0.0.

***

Version 1
ScAsBr | GGA-PBE | optimized geometry

The space group is P1 (No. 1) and the conventional cell measures 5.108, 5.415 and 6.850 Å, with angles of 111.43, 101.09 and 92.71 degrees. The inequivalent atoms are Sc at (0.000, 0.000, 0.000), Sc at (0.351, 0.717, 0.347), As at (0.036, 0.489, 0.948), As at (0.831, 0.762, 0.243), Br at (0.403, 0.246, 0.371) and Br at (0.453, 0.940, 0.787).

The density is 3866 kg/m3.

***

Version 2
ScAsBr | GGA-PBE | optimized geometry

The space group is Cm (No. 8) and the conventional cell measures 5.884, 3.859 and 7.166 Å, with angles of 90.00, 93.35 and 90.00 degrees. The inequivalent atoms are Sc at (0.000, 0.000, 0.000), As at (0.154, 0.500, 0.245) and Br at (0.320, 0.000, 0.751).

Its density of states at the Fermi level is 0.347 states/eV per atom. The density is 4085 kg/m3.

***

How do the energies compare? Relative to the most stable structure, in kJ/mol of atoms: version 1 0.0; version 2 8.1.